[1]
Ca2PuSe4: optimized geometry, PBE-GGA.

DOS(E_F) = 9.66 states/eV/f.u.
Symmetry = No. 63
Formation energy (no corrections) = -1.57 eV/atom

Cell lengths 4.017, 7.264, 13.632 Å; angles 90.00, 90.00, 106.05 degrees
Each line ends with the local moment (μB).
Fractional coordinates of all 14 atoms:
Ca: 0.130 0.261 0.433  -0.01
Ca: 0.870 0.739 0.933  -0.01
Ca: 0.130 0.261 0.067  -0.01
Ca: 0.870 0.739 0.567  -0.01
Pu: 0.622 0.243 0.750  4.82
Pu: 0.378 0.757 0.250  4.82
Se: 0.778 0.556 0.128  -0.13
Se: 0.778 0.556 0.372  -0.13
Se: 0.222 0.444 0.872  -0.13
Se: 0.222 0.444 0.628  -0.13
Se: 0.979 0.959 0.750  -0.18
Se: 0.021 0.041 0.250  -0.18
Se: 0.500 0.000 0.000  -0.10
Se: 0.500 0.000 0.500  -0.10


[2]
CaAsPdSe2: optimized geometry, PBE-GGA.

DOS(E_F) = 3.26 states/eV/f.u.
Symmetry = No. 123
ΔE to the lowest computed polymorph = 0.000 eV per atom
Formation energy (no corrections) = -0.42 eV/atom

Cell lengths 5.266, 4.595, 5.266 Å; angles 90.00, 90.00, 90.00 degrees
Fractional coordinates of all 5 atoms:
As: 0.000 0.000 0.000
Ca: 0.500 0.500 0.500
Se: 0.000 0.000 0.500
Se: 0.500 0.000 0.000
Pd: 0.000 0.500 0.000


[3]
Hf3Cu2Pd4: optimized geometry, PBE-GGA.

DOS(E_F) = 4.03 states/eV/f.u.
Symmetry = No. 15
E_form = -0.58 eV per atom

Cell lengths 4.856, 8.077, 8.077 Å; angles 72.88, 82.02, 82.02 degrees
Fractional coordinates of all 18 atoms:
Hf: 0.083 0.955 0.707
Hf: 0.417 0.293 0.045
Hf: 0.917 0.045 0.293
Hf: 0.583 0.707 0.955
Hf: 0.250 0.374 0.626
Hf: 0.750 0.626 0.374
Cu: 0.195 0.731 0.478
Cu: 0.305 0.522 0.269
Cu: 0.805 0.269 0.522
Cu: 0.695 0.478 0.731
Pd: 0.532 0.069 0.814
Pd: 0.968 0.186 0.931
Pd: 0.468 0.931 0.186
Pd: 0.032 0.814 0.069
Pd: 0.639 0.835 0.592
Pd: 0.861 0.408 0.165
Pd: 0.361 0.165 0.408
Pd: 0.139 0.592 0.835


[4]
Cs2TlICl2: optimized geometry, PBE-GGA.

DOS(E_F) = 0.00 states/eV/f.u.
Symmetry = No. 123
Formation energy (no corrections) = -1.41 eV/atom

Cell lengths 5.957, 5.957, 8.228 Å; angles 90.00, 90.00, 90.00 degrees
Fractional coordinates of all 6 atoms:
Cs: 0.500 0.500 0.752
Cs: 0.500 0.500 0.248
Tl: 0.000 0.000 0.000
I: 0.000 0.000 0.500
Cl: 0.500 0.000 0.000
Cl: 0.000 0.500 0.000


Copy entry 3 word for word.
Hf3Cu2Pd4: optimized geometry, PBE-GGA.

DOS(E_F) = 4.03 states/eV/f.u.
Symmetry = No. 15
E_form = -0.58 eV per atom

Cell lengths 4.856, 8.077, 8.077 Å; angles 72.88, 82.02, 82.02 degrees
Fractional coordinates of all 18 atoms:
Hf: 0.083 0.955 0.707
Hf: 0.417 0.293 0.045
Hf: 0.917 0.045 0.293
Hf: 0.583 0.707 0.955
Hf: 0.250 0.374 0.626
Hf: 0.750 0.626 0.374
Cu: 0.195 0.731 0.478
Cu: 0.305 0.522 0.269
Cu: 0.805 0.269 0.522
Cu: 0.695 0.478 0.731
Pd: 0.532 0.069 0.814
Pd: 0.968 0.186 0.931
Pd: 0.468 0.931 0.186
Pd: 0.032 0.814 0.069
Pd: 0.639 0.835 0.592
Pd: 0.861 0.408 0.165
Pd: 0.361 0.165 0.408
Pd: 0.139 0.592 0.835


Question: Look up the DOS(E_F) of the second one.
Answer: 3.26 states/eV/f.u.